(1)
The following is a DFT calculation (PBE) of PmOF after structural relaxation.

Computed properties:
final energy	-7.589	eV/atom
raw formation energy	-3.729	eV per atom

a b c (Å): 6.7055 3.8687 8.1898
angles (deg): 90.00 105.27 90.00
Closest atoms and distances in Å follow each position.
Space group C2/m (No. 12)
Unique sites:
Pm  0.1063  0.0000  0.3122 (multiplicity 4)  4 O 2.32-2.33, 3 F 2.50
O  0.2010  0.0000  0.6068 (multiplicity 4)  4 Pm 2.32-2.33
F  0.1064  0.5000  0.8301 (multiplicity 4)  3 Pm 2.50



(2)
The following is a DFT calculation (PBE) of PmOF after structural relaxation.

Computed properties:
final energy	-7.361	eV/atom
raw formation energy	-3.501	eV per atom

a b c (Å): 3.4769 3.2780 8.3115
angles (deg): 90.00 90.00 90.00
Closest atoms and distances in Å follow each position.
Space group Amm2 (No. 38)
Unique sites:
Pm  0.0000  0.0000  0.0000 (multiplicity 2)  3 F 2.35-2.44, 4 O 2.41
O  0.5000  0.0000  0.5381 (multiplicity 2)  4 Pm 2.41
F  0.0000  0.0000  0.2825 (multiplicity 2)  3 Pm 2.35-2.44